# Ce2Al2O7 PBE optimized geometry
# formation energy without anion corrections = -2.997 eV per atom
# calculated density = 5.7 g/cm³
# M_tot = 0.0000 μB per atom
data_Ce2Al2O7
_chemical_formula_sum 'Ce4 Al4 O14'
_symmetry_space_group_name_H-M 'I m m 2'
_symmetry_Int_Tables_number 44
_cell_length_a 3.656
_cell_length_b 10.476
_cell_length_c 6.764
_cell_angle_alpha 90.00
_cell_angle_beta 90.00
_cell_angle_gamma 90.00
loop_
_symmetry_equiv_pos_as_xyz
'x,y,z'
'-x,-y,z'
'-x,y,z'
'x,-y,z'
'x+1/2,y+1/2,z+1/2'
'-x+1/2,-y+1/2,z+1/2'
'-x+1/2,y+1/2,z+1/2'
'x+1/2,-y+1/2,z+1/2'
loop_
_atom_site_label
_atom_site_type_symbol
_atom_site_fract_x
_atom_site_fract_y
_atom_site_fract_z
Ce1 Ce 0.000 0.241 0.000
Al1 Al 0.000 0.000 0.470
Al2 Al 0.000 0.500 0.303
O1 O 0.000 0.126 0.710
O2 O 0.000 0.148 0.321
O3 O 0.000 0.379 0.492
O4 O 0.000 0.500 0.029

---

# Ce3AlO PBE optimized geometry
# formation energy without anion corrections = -1.260 eV per atom
# calculated density = 6.8 g/cm³
# M_tot = 0.3734 μB per atom
data_Ce3AlO
_chemical_formula_sum 'Ce3 Al1 O1'
_symmetry_space_group_name_H-M 'P m -3 m'
_symmetry_Int_Tables_number 221
_symmetry_space_group_name_Hall '-P 4 2 3'
_cell_length_a 4.834
_cell_length_b 4.834
_cell_length_c 4.834
_cell_angle_alpha 90.00
_cell_angle_beta 90.00
_cell_angle_gamma 90.00
loop_
_atom_site_label
_atom_site_type_symbol
_atom_site_fract_x
_atom_site_fract_y
_atom_site_fract_z
Ce1 Ce 0.000 0.000 0.500
Al1 Al 0.500 0.500 0.500
O1 O 0.000 0.000 0.000

---

# CeAl8O16 PBE optimized geometry
# formation energy without anion corrections = -1.990 eV per atom
# calculated density = 2.7 g/cm³
# M_tot = 0.1491 μB per atom
data_CeAl8O16
_chemical_formula_sum 'Ce1 Al8 O16'
_symmetry_space_group_name_H-M 'P m m 2'
_symmetry_Int_Tables_number 25
_cell_length_a 3.582
_cell_length_b 3.659
_cell_length_c 28.579
_cell_angle_alpha 90.00
_cell_angle_beta 90.00
_cell_angle_gamma 90.00
loop_
_symmetry_equiv_pos_as_xyz
'x,y,z'
'-x,-y,z'
'-x,y,z'
'x,-y,z'
loop_
_atom_site_label
_atom_site_type_symbol
_atom_site_fract_x
_atom_site_fract_y
_atom_site_fract_z
Ce1 Ce 0.000 0.000 0.000
Al1 Al 0.500 0.500 0.074
Al2 Al 0.500 0.500 0.195
Al3 Al 0.500 0.500 0.316
Al4 Al 0.500 0.500 0.439
Al5 Al 0.500 0.500 0.562
Al6 Al 0.500 0.500 0.684
Al7 Al 0.500 0.500 0.805
Al8 Al 0.500 0.500 0.926
O1 O 0.000 0.500 0.062
O2 O 0.000 0.500 0.315
O3 O 0.000 0.500 0.439
O4 O 0.000 0.500 0.561
O5 O 0.000 0.500 0.938
O6 O 0.500 0.000 0.061
O7 O 0.500 0.000 0.686
O8 O 0.500 0.000 0.938
O9 O 0.500 0.500 0.000
O10 O 0.500 0.500 0.139
O11 O 0.500 0.500 0.252
O12 O 0.500 0.500 0.378
O13 O 0.500 0.500 0.501
O14 O 0.500 0.500 0.624
O15 O 0.500 0.500 0.748
O16 O 0.500 0.500 0.861

---

# CeAl6O12 PBE optimized geometry
# formation energy without anion corrections = -1.996 eV per atom
# calculated density = 4.2 g/cm³
# M_tot = 0.0605 μB per atom
data_CeAl6O12
_chemical_formula_sum 'Ce3 Al18 O36'
_symmetry_space_group_name_H-M 'R -3 m'
_symmetry_Int_Tables_number 166
_symmetry_space_group_name_Hall '-R 3 2"'
_cell_length_a 10.6656
_cell_length_b 10.6656
_cell_length_c 5.8890
_cell_angle_alpha 90.00
_cell_angle_beta 90.00
_cell_angle_gamma 120.00
loop_
_atom_site_label
_atom_site_type_symbol
_atom_site_fract_x
_atom_site_fract_y
_atom_site_fract_z
Ce1 Ce 0.0000 0.0000 0.0000
Al1 Al 0.0940 0.5470 0.3005
O1 O 0.0000 0.3913 0.5000
O2 O 0.0852 0.1704 0.3271